# 1
This record from Alexandria via LeMat-Bulk describes a relaxed structure of TcPOs2. The functional is PBE.

Properties
The final energy comes out at -8.94 eV per atom. The formation enthalpy at 0 K is 0.623 eV/atom. The calculation puts the density of states at the Fermi level at 0.60 states/eV per atom. Its space group is No. 122. For the magnetization, the calculation gives 0.0 μB per formula unit.

a b c (Å): 6.5663 6.5663 6.5663
angles (deg): 131.08 131.08 71.69
With the nearest neighbours (Å) after each atom.
Element x y z (fractional)
1 Tc 0.0000 0.0000 0.0000  4 Os 2.40
2 Tc 0.7500 0.2500 0.5000  4 Os 2.40
3 P 0.2500 0.7500 0.5000  4 Os 2.28
4 P 0.5000 0.5000 0.0000  4 Os 2.28
5 Os 0.1454 0.6250 0.0204  2 P 2.28, 2 Tc 2.40
6 Os 0.3750 0.3954 0.5204  2 P 2.28, 2 Tc 2.40
7 Os 0.6046 0.1250 0.9796  2 P 2.28, 2 Tc 2.40
8 Os 0.8750 0.8546 0.4796  2 P 2.28, 2 Tc 2.40

# 2
This record from Alexandria via LeMat-Bulk describes a relaxed structure of DyGa2Pt5. The functional is PBE.

Properties
The final energy comes out at -5.87 eV per atom. The formation enthalpy at 0 K is -0.763 eV/atom. The calculation puts the density of states at the Fermi level at 0.42 states/eV per atom. Its space group is No. 71. For the magnetization, the calculation gives 0.0 μB per formula unit.

a b c (Å): 6.5028 6.5028 6.5028
angles (deg): 145.67 112.62 77.85
With the nearest neighbours (Å) after each atom.
Element x y z (fractional)
1 Dy 0.0000 0.0000 0.0000  4 Ga 3.19, 8 Pt 3.20
2 Ga 0.2522 0.7522 0.5000  7 Pt 2.43-2.65
3 Ga 0.7478 0.2478 0.5000  7 Pt 2.43-2.65
4 Pt 0.1582 0.3611 0.7971  3 Ga 2.43-2.65
5 Pt 0.4360 0.6389 0.7971  3 Ga 2.43-2.65
6 Pt 0.5000 0.0000 0.5000  2 Ga 2.51, 8 Pt 2.79
7 Pt 0.5640 0.3611 0.2029  3 Ga 2.43-2.65
8 Pt 0.8418 0.6389 0.2029  3 Ga 2.43-2.65

# 3
This record from Alexandria via LeMat-Bulk describes a relaxed structure of ScAs4W. The functional is PBE.

Properties
The final energy comes out at -5.74 eV per atom. The formation enthalpy at 0 K is 0.578 eV/atom. The calculation puts the density of states at the Fermi level at 0.89 states/eV per atom. Its space group is No. 216. For the magnetization, the calculation gives 0.0 μB per formula unit.

a b c (Å): 5.4220 5.4220 5.4220
angles (deg): 60.00 60.00 60.00
With the nearest neighbours (Å) after each atom.
Element x y z (fractional)
1 Sc 0.0000 0.0000 0.0000  12 As 3.18, 4 W 3.32
2 As 0.3756 0.3756 0.3756  6 As 2.70-2.72
3 As 0.3756 0.3756 0.8733  6 As 2.70-2.72
4 As 0.3756 0.8733 0.3756  6 As 2.70-2.72
5 As 0.8733 0.3756 0.3756  6 As 2.70-2.72
6 W 0.7500 0.7500 0.7500  12 As 3.18, 4 Sc 3.32

# 4
This record from Alexandria via LeMat-Bulk describes a relaxed structure of ErZnAsO. The functional is PBE.

Properties
The final energy comes out at -5.69 eV per atom. Its space group is No. 129. For the magnetization, the calculation gives 0.0 μB per formula unit.

a b c (Å): 3.9385 3.9385 8.9024
angles (deg): 90.00 90.00 90.00
With the nearest neighbours (Å) after each atom.
Element x y z (fractional)
1 Er 0.2500 0.2500 0.1198  4 O 2.24
2 Er 0.7500 0.7500 0.8802  4 O 2.24
3 Zn 0.2500 0.7500 0.5000  4 As 2.57, 4 Zn 2.78
4 Zn 0.7500 0.2500 0.5000  4 As 2.57, 4 Zn 2.78
5 As 0.2500 0.2500 0.6850  4 Zn 2.57
6 As 0.7500 0.7500 0.3150  4 Zn 2.57
7 O 0.2500 0.7500 0.0000  4 Er 2.24
8 O 0.7500 0.2500 0.0000  4 Er 2.24

# 5
This record from Alexandria via LeMat-Bulk describes a relaxed structure of LiNi2Hg. The functional is PBE.

Properties
The final energy comes out at -3.36 eV per atom. The formation enthalpy at 0 K is 0.080 eV/atom. The calculation puts the density of states at the Fermi level at 0.96 states/eV per atom. Its space group is No. 8. For the magnetization, the calculation gives 0.5 μB per formula unit.

a b c (Å): 4.6097 4.6097 4.5902
angles (deg): 101.93 101.93 35.88
With the nearest neighbours (Å) after each atom.
Element x y z (fractional)
1 Li 0.0000 0.0000 0.0000  5 Ni 2.53-2.71, 3 Hg 2.59-2.72
2 Ni 0.4863 0.4863 0.4499  3 Ni 2.47-2.67, 2 Li 2.53, 2 Hg 2.75
3 Ni 0.7556 0.7556 0.2661  3 Ni 2.47-2.67, 4 Hg 2.68-2.73, 3 Li 2.69-2.71
4 Hg 0.2394 0.2394 0.7530  3 Li 2.59-2.72, 7 Ni 2.68-2.82, 2 Hg 2.84

# 6
This record from Alexandria via LeMat-Bulk describes a relaxed structure of RbSnP3. The functional is PBE.

Properties
The final energy comes out at -2.39 eV per atom. The formation enthalpy at 0 K is 1.854 eV/atom. The calculation puts the density of states at the Fermi level at 0.94 states/eV per atom. Its space group is No. 221. For the magnetization, the calculation gives 0.0 μB per formula unit.

a b c (Å): 5.3319 5.3319 5.3319
angles (deg): 90.00 90.00 90.00
With the nearest neighbours (Å) after each atom.
Element x y z (fractional)
1 Rb 0.0000 0.0000 0.0000  6 P 2.67
2 Sn 0.5000 0.5000 0.5000  12 P 3.77
3 P 0.0000 0.0000 0.5000  2 Rb 2.67
4 P 0.0000 0.5000 0.0000  2 Rb 2.67
5 P 0.5000 0.0000 0.0000  2 Rb 2.67

# 7
This record from Alexandria via LeMat-Bulk describes a relaxed structure of KZrTl. The functional is PBE.

Properties
The final energy comes out at -3.82 eV per atom. The formation enthalpy at 0 K is 0.185 eV/atom. The calculation puts the density of states at the Fermi level at 0.29 states/eV per atom. Its space group is No. 2. For the magnetization, the calculation gives 0.0 μB per formula unit.

a b c (Å): 4.8072 4.9709 11.8513
angles (deg): 78.32 89.86 61.08
With the nearest neighbours (Å) after each atom.
Element x y z (fractional)
1 K 0.2195 0.0649 0.1720  3 Tl 3.60-3.63, 1 Zr 3.83
2 K 0.7805 0.9351 0.8280  3 Tl 3.60-3.63, 1 Zr 3.83
3 Zr 0.3477 0.8044 0.5032  3 Zr 2.67-2.94
4 Zr 0.6523 0.1956 0.4968  3 Zr 2.67-2.94
5 Tl 0.0442 0.4099 0.6336  1 Tl 3.08, 6 Zr 3.14-3.43
6 Tl 0.9558 0.5901 0.3664  1 Tl 3.08, 6 Zr 3.14-3.43

# 8
This record from Alexandria via LeMat-Bulk describes a relaxed structure of CsCdTe2. The functional is PBE.

Properties
The final energy comes out at -2.54 eV per atom. The calculation puts the density of states at the Fermi level at 0.58 states/eV per atom. Its space group is No. 122. For the magnetization, the calculation gives 0.0 μB per formula unit.

a b c (Å): 7.6099 7.6099 7.6099
angles (deg): 108.64 108.64 111.15
With the nearest neighbours (Å) after each atom.
Element x y z (fractional)
1 Cs 0.0000 0.0000 0.0000  8 Te 3.92-4.16, 2 Cd 4.30
2 Cs 0.7500 0.2500 0.5000  8 Te 3.92-4.16, 2 Cd 4.30
3 Cd 0.2500 0.7500 0.5000  4 Te 2.83
4 Cd 0.5000 0.5000 0.0000  4 Te 2.83
5 Te 0.2184 0.6250 0.0934  2 Cd 2.83
6 Te 0.3750 0.4684 0.5934  2 Cd 2.83
7 Te 0.5316 0.1250 0.9066  2 Cd 2.83
8 Te 0.8750 0.7816 0.4066  2 Cd 2.83

# 9
This record from Alexandria via LeMat-Bulk describes a relaxed structure of Sm4Ag2F. The functional is PBE.

Properties
The final energy comes out at -4.53 eV per atom. The calculation puts the density of states at the Fermi level at 0.80 states/eV per atom. Its space group is No. 139. For the magnetization, the calculation gives 0.0 μB per formula unit.

a b c (Å): 8.3719 8.3719 8.3719
angles (deg): 146.07 146.07 48.74
With the nearest neighbours (Å) after each atom.
Element x y z (fractional)
1 Sm 0.0000 0.5000 0.5000  2 F 2.44
2 Sm 0.1894 0.1894 0.0000  1 Ag 2.84, 1 F 2.89
3 Sm 0.5000 0.0000 0.5000  2 F 2.44
4 Sm 0.8106 0.8106 0.0000  1 Ag 2.84, 1 F 2.89
5 Ag 0.3757 0.3757 0.0000  5 Sm 2.84-3.09
6 Ag 0.6243 0.6243 0.0000  5 Sm 2.84-3.09
7 F 0.0000 0.0000 0.0000  4 Sm 2.44

# 10
This record from Alexandria via LeMat-Bulk describes a relaxed structure of RbPuTe2. The functional is PBE.

Properties
The final energy comes out at -6.49 eV per atom. The calculation puts the density of states at the Fermi level at 3.27 states/eV per atom. Its space group is No. 160. For the magnetization, the calculation gives 5.0 μB per formula unit.

a b c (Å): 9.0136 9.0136 9.0136
angles (deg): 29.44 29.44 29.44
With the nearest neighbours (Å) after each atom.
Element x y z (fractional)
1 Rb 0.0000 0.0000 0.0000  6 Te 3.67-3.74
2 Pu 0.1689 0.1689 0.1689  6 Te 3.14-3.15
3 Te 0.5680 0.5680 0.5680  3 Pu 3.14
4 Te 0.7692 0.7692 0.7692  3 Pu 3.15

# 11
This record from Alexandria via LeMat-Bulk describes a relaxed structure of Cs2PmTlS4. The functional is PBE.

Properties
The final energy comes out at -4.23 eV per atom. The calculation puts the density of states at the Fermi level at 0.12 states/eV per atom. Its space group is No. 15. For the magnetization, the calculation gives 0.0 μB per formula unit.

a b c (Å): 8.8119 8.8119 8.6921
angles (deg): 117.05 117.05 93.64
With the nearest neighbours (Å) after each atom.
Element x y z (fractional)
1 Cs 0.0000 0.0000 0.0000  6 S 3.27-3.65
2 Cs 0.0000 0.0000 0.5000  6 S 3.27-3.65
3 Cs 0.0000 0.5000 0.0000  6 S 3.36-3.48
4 Cs 0.5000 0.0000 0.5000  6 S 3.36-3.48
5 Pm 0.5000 0.5000 0.0000  6 S 2.81-3.01
6 Pm 0.5000 0.5000 0.5000  6 S 2.81-3.01
7 Tl 0.0000 0.5000 0.5000  2 S 2.57
8 Tl 0.5000 0.0000 0.0000  2 S 2.57
9 S 0.2371 0.6993 0.5132  1 Tl 2.57
10 S 0.2850 0.3093 0.5580  2 Pm 2.81-2.88, 1 Tl 3.09
11 S 0.3007 0.7629 0.9868  1 Tl 2.57
12 S 0.3093 0.2850 0.0580  2 Pm 2.81-2.88, 1 Tl 3.09
13 S 0.6907 0.7150 0.9420  2 Pm 2.81-2.88, 1 Tl 3.09
14 S 0.6993 0.2371 0.0132  1 Tl 2.57
15 S 0.7150 0.6907 0.4420  2 Pm 2.81-2.88, 1 Tl 3.09
16 S 0.7629 0.3007 0.4868  1 Tl 2.57